# LiNbWO6 (GGA-PBEsol, relaxed)
# D(E_F) = 0.00 states/eV/cell
# E_tot = -157.98 eV per cell
# Raw formation energy = -224.0 kJ per mole of atoms
# Polymorph energy (0 for the lowest one) = 0 meV per atom
data_LiNbWO6
_cell_length_a 4.706
_cell_length_b 4.706
_cell_length_c 9.274
_cell_angle_alpha 90.00
_cell_angle_beta 90.00
_cell_angle_gamma 90.00
_symmetry_space_group_name_H-M 'P -4 21 m'
_symmetry_Int_Tables_number 113
loop_
_symmetry_equiv_pos_as_xyz
'x,y,z'
'y,-x,-z'
'-x,-y,z'
'-y,x,-z'
'x+1/2,-y+1/2,-z'
'y+1/2,x+1/2,z'
'-x+1/2,y+1/2,-z'
'-y+1/2,-x+1/2,z'
loop_
_atom_site_label
_atom_site_type_symbol
_atom_site_fract_x
_atom_site_fract_y
_atom_site_fract_z
Li1 Li 0.000 0.500 0.076
Nb1 Nb 0.000 0.500 0.409
W1 W 0.000 0.500 0.770
O1 O 0.195 0.695 0.582
O2 O 0.202 0.702 0.894
O3 O 0.215 0.715 0.271